# LiIn2Pd2 | Alexandria | GGA-PBE | relaxed
data_LiIn2Pd2
_cell_length_a 4.597
_cell_length_b 6.094
_cell_length_c 7.288
_cell_angle_alpha 90.03
_cell_angle_beta 108.36
_cell_angle_gamma 90.07
_space_group_name_H-M_alt 'P -1'
_space_group_IT_number 2
_space_group_name_Hall '-P 1'
loop_
_atom_site_label
_atom_site_fract_x
_atom_site_fract_y
_atom_site_fract_z
Li1 0.164 0.250 0.329
In1 0.168 0.750 0.338
In2 0.498 0.750 0.994
Pd1 0.335 0.001 0.669
Pd2 0.336 0.499 0.669
# ΔH_f (0 K), eV/atom: -0.4796
# Relative energy among the computed polymorphs, meV per atom: 27

---

# NaMnAsBr2 | Alexandria | GGA-PBE | relaxed
data_NaMnAsBr2
_cell_length_a 5.452
_cell_length_b 5.452
_cell_length_c 4.706
_cell_angle_alpha 90.00
_cell_angle_beta 90.00
_cell_angle_gamma 90.00
_space_group_name_H-M_alt 'P 4/m m m'
_space_group_IT_number 123
_space_group_name_Hall '-P 4 2'
loop_
_atom_site_label
_atom_site_fract_x
_atom_site_fract_y
_atom_site_fract_z
Na1 0.000 0.000 0.000
Mn1 0.500 0.500 0.500
As1 0.500 0.500 0.000
Br1 0.000 0.500 0.500
# Energy relative to the elements, uncorrected, meV per atom: -418
# Relative energy among the computed polymorphs, meV per atom: 0

---

# FeRuSe2 | Alexandria | GGA-PBE | relaxed
data_FeRuSe2
_cell_length_a 6.390
_cell_length_b 6.390
_cell_length_c 6.390
_cell_angle_alpha 90.00
_cell_angle_beta 90.00
_cell_angle_gamma 90.00
_space_group_name_H-M_alt 'F -4 3 m'
_space_group_IT_number 216
_space_group_name_Hall 'F -4 2 3'
loop_
_atom_site_label
_atom_site_fract_x
_atom_site_fract_y
_atom_site_fract_z
Fe1 0.000 0.000 0.000
Ru1 0.250 0.250 0.750
Se1 0.000 0.000 0.500
Se2 0.250 0.250 0.250
# Energy relative to the elements, uncorrected, meV per atom: 715
# Relative energy among the computed polymorphs, meV per atom: 939

---

# LaPm5Y | Alexandria | GGA-PBE | relaxed
data_LaPm5Y
_cell_length_a 5.869
_cell_length_b 8.817
_cell_length_c 12.028
_cell_angle_alpha 90.00
_cell_angle_beta 90.00
_cell_angle_gamma 90.00
_space_group_name_H-M_alt 'I m m m'
_space_group_IT_number 71
_space_group_name_Hall '-I 2 2'
loop_
_atom_site_label
_atom_site_fract_x
_atom_site_fract_y
_atom_site_fract_z
La1 0.000 0.000 0.000
Pm1 0.000 0.000 0.248
Pm2 0.000 0.319 0.500
Pm3 0.000 0.500 0.000
Y1 0.000 0.000 0.500
# ΔH_f (0 K), eV/atom: 0.9973
# Relative energy among the computed polymorphs, meV per atom: 16

---

# TbEr2Cu | Alexandria | GGA-PBE | relaxed
data_TbEr2Cu
_cell_length_a 4.879
_cell_length_b 11.523
_cell_length_c 7.492
_cell_angle_alpha 90.00
_cell_angle_beta 90.00
_cell_angle_gamma 90.00
_space_group_name_H-M_alt 'C m c m'
_space_group_IT_number 63
_space_group_name_Hall '-C 2c 2'
loop_
_atom_site_label
_atom_site_fract_x
_atom_site_fract_y
_atom_site_fract_z
Tb1 0.000 0.045 0.250
Er1 0.000 0.351 0.032
Cu1 0.000 0.202 0.750
# ΔH_f (0 K), eV/atom: -0.0741
# Relative energy among the computed polymorphs, meV per atom: 39

---

# ZnPb2Se | Alexandria | GGA-PBE | relaxed
data_ZnPb2Se
_cell_length_a 7.117
_cell_length_b 7.809
_cell_length_c 3.716
_cell_angle_alpha 90.00
_cell_angle_beta 90.00
_cell_angle_gamma 90.00
_space_group_name_H-M_alt 'C m m m'
_space_group_IT_number 65
_space_group_name_Hall '-C 2 2'
loop_
_atom_site_label
_atom_site_fract_x
_atom_site_fract_y
_atom_site_fract_z
Zn1 0.000 0.000 0.000
Pb1 0.250 0.250 0.500
Se1 0.000 0.500 0.000
# Energy relative to the elements, uncorrected, meV per atom: -36
# Relative energy among the computed polymorphs, meV per atom: 118

---

# LaTaTiIn2 | Alexandria | GGA-PBE | relaxed
data_LaTaTiIn2
_cell_length_a 5.392
_cell_length_b 5.392
_cell_length_c 5.234
_cell_angle_alpha 90.00
_cell_angle_beta 90.00
_cell_angle_gamma 90.00
_space_group_name_H-M_alt 'P 4/m m m'
_space_group_IT_number 123
_space_group_name_Hall '-P 4 2'
loop_
_atom_site_label
_atom_site_fract_x
_atom_site_fract_y
_atom_site_fract_z
La1 0.000 0.000 0.000
Ta1 0.500 0.500 0.000
Ti1 0.000 0.000 0.500
In1 0.000 0.500 0.500
# ΔH_f (0 K), eV/atom: 1.1849

---

# LiTmPa2N5 | Alexandria | GGA-PBE | relaxed
data_LiTmPa2N5
_cell_length_a 3.509
_cell_length_b 12.821
_cell_length_c 10.242
_cell_angle_alpha 90.00
_cell_angle_beta 90.00
_cell_angle_gamma 90.00
_space_group_name_H-M_alt 'C m c 21'
_space_group_IT_number 36
_space_group_name_Hall 'C 2c -2'
loop_
_atom_site_label
_atom_site_fract_x
_atom_site_fract_y
_atom_site_fract_z
Li1 0.000 0.010 0.000
Tm1 0.000 0.343 0.936
Pa1 0.000 0.336 0.623
Pa2 0.000 0.400 0.256
N1 0.000 0.011 0.307
N2 0.000 0.166 0.598
N3 0.000 0.167 0.983
N4 0.000 0.220 0.270
N5 0.000 0.494 0.076
# Energy relative to the elements, uncorrected, meV per atom: -1193

---

It is found that the density values, taken in the order of the records, are 7.70; 3.71; 8.01; 5.08; 8.78; 8.99; 6.52; 10.21 Mg/m³.